1.
! Cu7Ag3 | OQMD via LeMat-Bulk | PBE | relaxed; values from VASP
&SYSTEM
  ibrav = 0, nat = 10, ntyp = 2
/
ATOMIC_SPECIES
Ag 107.87 Ag.upf
Cu 63.55 Cu.upf
ATOMIC_POSITIONS angstrom
Ag -0.945 0.194 3.077
Ag -2.729 2.245 2.390
Ag -3.147 0.828 4.770
Cu -2.340 -4.815 3.068
Cu -1.442 -1.028 0.820
Cu -1.773 -2.355 3.156
Cu -4.108 -3.045 2.313
Cu -3.527 -0.570 2.394
Cu -3.721 -1.751 4.662
Cu -5.595 0.181 4.015
CELL_PARAMETERS angstrom
-3.496 -4.614 1.564
2.177 -0.612 3.061
-3.453 3.732 3.202
! SG   No. 6
! Energy relative to the elements   0.079 eV/atom
! Relative energy among the computed polymorphs   0.034 eV/atom
! Total DFT energy (no corrections)   -3.370 eV/atom



2.
! PuZnHg | OQMD via LeMat-Bulk | PBE | relaxed; values from VASP
&SYSTEM
  ibrav = 0, nat = 3, ntyp = 3
/
ATOMIC_SPECIES
Hg 200.59 Hg.upf
Pu 244.00 Pu.upf
Zn 65.41 Zn.upf
ATOMIC_POSITIONS angstrom
Hg 1.681 1.681 1.681
Pu 5.043 5.043 5.043
Zn 0.000 0.000 0.000
CELL_PARAMETERS angstrom
0.000 3.362 3.362
3.362 0.000 3.362
3.362 3.362 0.000
! SG   No. 216
! Energy relative to the elements   0.048 eV/atom
! Total DFT energy (no corrections)   -5.182 eV/atom



3.
! ZrTlFePd | OQMD via LeMat-Bulk | PBE | relaxed; values from VASP
&SYSTEM
  ibrav = 0, nat = 4, ntyp = 4
/
ATOMIC_SPECIES
Fe 55.84 Fe.upf
Pd 106.42 Pd.upf
Tl 204.38 Tl.upf
Zr 91.22 Zr.upf
ATOMIC_POSITIONS angstrom
Fe 4.891 -3.796 5.867
Pd 1.630 -1.265 1.956
Tl 0.000 0.000 0.000
Zr 3.261 -2.531 3.911
CELL_PARAMETERS angstrom
4.112 -2.008 0.784
2.098 0.533 4.107
0.311 -3.587 2.932
! SG   No. 216
! Relative energy among the computed polymorphs   0.000 eV/atom
! Total DFT energy (no corrections)   -6.212 eV/atom



4.
! ZnFeReHg | OQMD via LeMat-Bulk | PBE | relaxed; values from VASP
&SYSTEM
  ibrav = 0, nat = 4, ntyp = 4
/
ATOMIC_SPECIES
Fe 55.84 Fe.upf
Hg 200.59 Hg.upf
Re 186.21 Re.upf
Zn 65.41 Zn.upf
ATOMIC_POSITIONS angstrom
Fe -3.563 -6.887 2.570
Hg -2.375 -4.591 1.713
Re -1.188 -2.296 0.857
Zn 0.000 0.000 0.000
CELL_PARAMETERS angstrom
-0.373 -2.846 3.396
-3.893 -1.987 0.818
-0.484 -4.350 -0.787
! SG   No. 216
! Energy relative to the elements   0.776 eV/atom
! Relative energy among the computed polymorphs   0.050 eV/atom
! Total DFT energy (no corrections)   -4.798 eV/atom



5.
! Cs2LaDyS4 | OQMD via LeMat-Bulk | PBE | relaxed; values from VASP
&SYSTEM
  ibrav = 0, nat = 8, ntyp = 4
/
ATOMIC_SPECIES
Cs 132.91 Cs.upf
Dy 162.50 Dy.upf
La 138.91 La.upf
S 32.06 S.upf
ATOMIC_POSITIONS angstrom
Cs 0.000 2.433 3.978
Cs 2.107 1.217 12.131
Dy 0.000 0.000 0.000
La 0.000 0.000 8.054
S 2.107 1.217 1.417
S 2.107 1.217 6.482
S 0.000 2.433 9.627
S 0.000 2.433 14.692
CELL_PARAMETERS angstrom
4.215 0.000 0.000
-2.107 3.650 0.000
0.000 0.000 16.109
! SG   No. 164
! Total DFT energy (no corrections)   -5.317 eV/atom



6.
! PaBiPb | OQMD via LeMat-Bulk | PBE | relaxed; values from VASP
&SYSTEM
  ibrav = 0, nat = 3, ntyp = 3
/
ATOMIC_SPECIES
Bi 208.98 Bi.upf
Pa 231.04 Pa.upf
Pb 207.20 Pb.upf
ATOMIC_POSITIONS angstrom
Bi 1.862 1.862 1.862
Pa 0.000 0.000 0.000
Pb 5.586 5.586 5.586
CELL_PARAMETERS angstrom
0.000 3.724 3.724
3.724 0.000 3.724
3.724 3.724 0.000
! SG   No. 216
! Relative energy among the computed polymorphs   0.000 eV/atom
! Total DFT energy (no corrections)   -5.466 eV/atom



7.
! Hf31PtO63 | OQMD via LeMat-Bulk | PBE | relaxed; values from VASP
&SYSTEM
  ibrav = 0, nat = 95, ntyp = 3
/
ATOMIC_SPECIES
O 16.00 O.upf
Pt 195.08 Pt.upf
Hf 178.49 Hf.upf
ATOMIC_POSITIONS angstrom
O 1.518 7.596 2.538
O 6.498 5.046 2.549
O 1.493 2.542 2.560
O 6.511 2.510 2.621
O 1.507 5.069 2.660
O 1.454 0.026 2.670
O 6.493 7.592 2.674
O 4.112 9.477 3.177
O 4.156 4.439 3.243
O 9.127 3.158 3.259
O 9.147 8.222 3.261
O 3.311 1.849 4.544
O 3.402 6.965 4.546
O 8.375 5.653 4.570
O 8.407 0.610 4.808
O 5.880 2.661 5.040
O 5.875 10.037 5.112
O 1.085 5.041 5.139
O 6.077 7.579 5.158
O 1.048 10.086 5.164
O 1.076 7.535 5.255
O 6.038 5.108 5.269
O 1.031 2.512 5.294
O 8.385 8.187 5.854
O 3.403 4.407 5.856
O 8.372 3.236 5.861
O 3.326 9.446 5.888
O 4.218 6.956 7.145
O 4.192 1.916 7.148
O 9.216 5.760 7.155
O 6.611 10.108 7.662
O 1.577 7.637 7.727
O 6.543 5.055 7.755
O 1.546 2.578 7.766
O 1.221 0.100 7.818
O 6.517 7.596 7.858
O 1.570 5.109 7.870
O 6.597 2.522 7.934
O 4.175 9.546 8.405
O 9.196 8.277 8.417
O 4.227 4.441 8.458
O 9.230 3.300 8.507
O 8.387 0.694 9.699
O 3.404 7.018 9.740
O 3.399 1.923 9.755
O 8.396 5.772 9.771
O 6.074 7.641 10.336
O 6.046 2.601 10.349
O 1.098 5.093 10.355
O 1.073 0.066 10.368
Pt 7.709 1.451 6.600
Hf 7.358 1.277 1.097
Hf 2.426 6.304 1.110
Hf 7.394 6.370 1.127
Hf 2.435 1.227 1.148
Hf 5.111 8.820 1.478
Hf 5.101 3.778 1.491
Hf 0.113 8.867 1.509
Hf 0.115 3.824 1.517
Hf 5.134 6.308 3.715
Hf 0.122 6.335 3.716
Hf 5.118 1.261 3.740
Hf 0.085 1.298 3.756
Hf 2.443 8.835 4.074
Hf 2.438 3.758 4.085
Hf 7.363 3.792 4.093
Hf 7.393 8.926 4.157
Hf 2.503 6.291 6.314
Hf 7.437 6.337 6.319
Hf 2.436 1.252 6.324
Hf 0.188 8.781 6.614
Hf 5.160 8.870 6.630
Hf 5.169 3.758 6.658
Hf 0.173 3.860 6.696
Hf 5.140 1.274 8.897
Hf 5.148 6.336 8.912
Hf 0.180 6.379 8.928
Hf 0.163 1.448 9.044
Hf 7.459 8.894 9.250
Hf 2.444 8.882 9.278
Hf 2.499 3.824 9.293
Hf 7.446 3.884 9.329
O 5.990 0.008 0.017
O 1.027 7.580 0.049
O 6.023 5.075 0.072
O 1.044 2.518 0.093
O 3.364 9.451 0.610
O 8.338 8.245 0.638
O 3.366 4.427 0.638
O 8.359 3.136 0.639
O 4.182 6.931 1.931
O 4.152 1.914 1.946
O 9.140 5.701 1.952
O 9.072 0.637 2.013
O 6.498 10.100 2.521
CELL_PARAMETERS angstrom
9.959 0.000 0.000
0.033 10.100 0.000
0.060 0.053 10.411
! SG   No. 1
! Total DFT energy (no corrections)   -10.028 eV/atom



8.
! Gd2Er2O5 | OQMD via LeMat-Bulk | PBE | relaxed; values from VASP
&SYSTEM
  ibrav = 0, nat = 9, ntyp = 3
/
ATOMIC_SPECIES
Er 167.26 Er.upf
Gd 157.25 Gd.upf
O 16.00 O.upf
ATOMIC_POSITIONS angstrom
Er 0.000 0.000 0.000
Er -2.150 -3.678 2.041
Gd 0.089 -3.469 -0.875
Gd -2.133 -7.272 1.235
O -1.131 -1.702 -1.180
O -4.221 -6.988 1.753
O 1.049 -2.062 0.468
O -2.040 -7.347 3.401
O -1.022 -5.371 0.180
CELL_PARAMETERS angstrom
-4.300 -7.357 4.082
-1.052 -1.333 -3.510
3.309 -2.052 -0.213
! SG   No. 123
! Relative energy among the computed polymorphs   0.000 eV/atom
! Total DFT energy (no corrections)   -7.641 eV/atom



9.
! HoAlPtAu | OQMD via LeMat-Bulk | PBE | relaxed; values from VASP
&SYSTEM
  ibrav = 0, nat = 8, ntyp = 4
/
ATOMIC_SPECIES
Al 26.98 Al.upf
Au 196.97 Au.upf
Ho 164.93 Ho.upf
Pt 195.08 Pt.upf
ATOMIC_POSITIONS angstrom
Al 0.000 0.000 0.161
Al 0.000 0.000 4.742
Au 0.000 2.550 3.770
Au 2.209 1.275 8.352
Ho 2.209 1.275 2.227
Ho 0.000 2.550 6.809
Pt 0.000 2.550 0.715
Pt 2.209 1.275 5.297
CELL_PARAMETERS angstrom
4.417 0.000 0.000
-2.209 3.825 0.000
0.000 0.000 9.163
! SG   No. 186
! Relative energy among the computed polymorphs   0.000 eV/atom
! Total DFT energy (no corrections)   -5.410 eV/atom



10.
! YInCuMo | OQMD via LeMat-Bulk | PBE | relaxed; values from VASP
&SYSTEM
  ibrav = 0, nat = 4, ntyp = 4
/
ATOMIC_SPECIES
Cu 63.55 Cu.upf
In 114.82 In.upf
Mo 95.94 Mo.upf
Y 88.91 Y.upf
ATOMIC_POSITIONS angstrom
Cu 5.123 5.123 5.123
In 0.000 0.000 0.000
Mo 3.415 3.415 3.415
Y 1.708 1.708 1.708
CELL_PARAMETERS angstrom
0.000 3.415 3.415
3.415 0.000 3.415
3.415 3.415 0.000
! SG   No. 216
! Relative energy among the computed polymorphs   0.199 eV/atom
! Total DFT energy (no corrections)   -5.396 eV/atom



11.
! ScBeCd | OQMD via LeMat-Bulk | PBE | relaxed; values from VASP
&SYSTEM
  ibrav = 0, nat = 3, ntyp = 3
/
ATOMIC_SPECIES
Be 9.01 Be.upf
Cd 112.41 Cd.upf
Sc 44.96 Sc.upf
ATOMIC_POSITIONS angstrom
Be -2.587 -0.804 0.174
Cd 0.000 0.000 0.000
Sc -7.762 -2.413 0.523
CELL_PARAMETERS angstrom
-2.767 -3.428 -0.499
-3.473 -0.460 2.718
-4.110 0.671 -1.522
! SG   No. 216
! Relative energy among the computed polymorphs   0.000 eV/atom
! Total DFT energy (no corrections)   -3.265 eV/atom



12.
! NaFeIr | OQMD via LeMat-Bulk | PBE | relaxed; values from VASP
&SYSTEM
  ibrav = 0, nat = 3, ntyp = 3
/
ATOMIC_SPECIES
Fe 55.84 Fe.upf
Ir 192.22 Ir.upf
Na 22.99 Na.upf
ATOMIC_POSITIONS angstrom
Fe -1.403 -1.955 -0.952
Ir -4.208 -5.865 -2.855
Na 0.000 0.000 0.000
CELL_PARAMETERS angstrom
0.157 -3.941 -1.516
-3.147 -2.701 0.807
-2.620 -1.178 -3.099
! SG   No. 216
! Relative energy among the computed polymorphs   0.724 eV/atom
! Total DFT energy (no corrections)   -4.603 eV/atom



13.
! NaGdNO | OQMD via LeMat-Bulk | PBE | relaxed; values from VASP
&SYSTEM
  ibrav = 0, nat = 8, ntyp = 4
/
ATOMIC_SPECIES
Gd 157.25 Gd.upf
N 14.01 N.upf
Na 22.99 Na.upf
O 16.00 O.upf
ATOMIC_POSITIONS angstrom
Gd -2.141 -1.177 4.409
Gd -5.775 0.921 2.060
N -1.921 1.109 4.409
N -3.905 2.254 2.060
Na -1.870 1.079 2.060
Na -3.956 2.284 4.409
O -1.871 -1.333 2.059
O -6.044 1.076 4.408
CELL_PARAMETERS angstrom
-2.090 -3.620 0.000
0.000 0.000 4.698
-5.825 3.363 0.000
! SG   No. 51
! Relative energy among the computed polymorphs   0.034 eV/atom
! Total DFT energy (no corrections)   -6.148 eV/atom



14.
! LuTlCuNi | OQMD via LeMat-Bulk | PBE | relaxed; values from VASP
&SYSTEM
  ibrav = 0, nat = 4, ntyp = 4
/
ATOMIC_SPECIES
Cu 63.55 Cu.upf
Lu 174.97 Lu.upf
Ni 58.69 Ni.upf
Tl 204.38 Tl.upf
ATOMIC_POSITIONS angstrom
Cu 4.902 4.902 4.902
Lu 3.268 3.268 3.268
Ni 1.634 1.634 1.634
Tl 0.000 0.000 0.000
CELL_PARAMETERS angstrom
0.000 3.268 3.268
3.268 0.000 3.268
3.268 3.268 0.000
! SG   No. 216
! Relative energy among the computed polymorphs   0.000 eV/atom
! Total DFT energy (no corrections)   -4.228 eV/atom



15.
! Nb3GaP | OQMD via LeMat-Bulk | PBE | relaxed; values from VASP
&SYSTEM
  ibrav = 0, nat = 10, ntyp = 3
/
ATOMIC_SPECIES
Ga 69.72 Ga.upf
Nb 92.91 Nb.upf
P 30.97 P.upf
ATOMIC_POSITIONS angstrom
Ga 1.786 2.744 2.233
Ga 1.786 -2.744 6.700
Nb 1.786 -3.846 0.507
Nb 1.786 -0.715 2.233
Nb 1.786 -3.846 3.960
Nb 1.786 3.846 4.973
Nb 1.786 0.715 6.700
Nb 1.786 3.846 8.426
P 1.786 0.000 0.000
P 1.786 0.000 4.466
CELL_PARAMETERS angstrom
1.786 -5.427 0.000
1.786 5.427 0.000
0.000 0.000 8.933
! SG   No. 63
! Total DFT energy (no corrections)   -8.183 eV/atom



16.
! K2Na2Sm4Ta2O13 | OQMD via LeMat-Bulk | PBE | relaxed; values from VASP
&SYSTEM
  ibrav = 0, nat = 46, ntyp = 5
/
ATOMIC_SPECIES
K 39.10 K.upf
Na 22.99 Na.upf
O 16.00 O.upf
Sm 150.36 Sm.upf
Ta 180.95 Ta.upf
ATOMIC_POSITIONS angstrom
K -11.997 -3.100 12.293
K -1.063 -3.092 4.547
K -7.811 -6.873 12.415
K 3.124 -6.865 4.669
Na -2.529 -0.523 2.704
Na -10.598 -5.771 14.041
Na 1.725 -4.194 2.921
Na -6.345 -9.442 14.258
O -8.028 -0.820 8.877
O -5.952 -2.836 5.156
O -3.433 -1.426 4.557
O -10.450 -3.674 9.557
O -9.317 -1.953 11.210
O -5.104 -1.493 7.340
O -7.291 -4.248 7.345
O -7.076 -3.366 10.744
O -2.652 -2.586 7.172
O -3.816 -4.344 5.579
O -9.564 -4.670 12.373
O -8.484 -5.440 9.740
O -4.052 -3.886 9.349
O -4.822 -6.079 7.613
O -0.390 -4.525 7.222
O 0.690 -5.295 4.589
O -5.058 -5.621 11.382
O -6.222 -7.379 9.790
O -1.798 -6.599 6.218
O -1.583 -5.717 9.617
O -3.770 -8.472 9.622
O 0.443 -8.012 5.752
O 1.576 -6.290 7.405
O -5.441 -8.539 12.405
O -2.922 -7.129 11.805
O -0.846 -9.145 8.085
Sm -7.423 -1.910 6.867
Sm 0.513 -1.238 1.311
Sm -13.644 -5.061 15.429
Sm -6.125 -5.021 9.284
Sm -2.748 -4.944 7.678
Sm 4.770 -4.904 1.533
Sm -9.387 -8.727 15.650
Sm -1.451 -8.055 10.095
Ta -4.179 -2.454 5.904
Ta -8.969 -3.871 10.812
Ta 0.095 -6.094 6.150
Ta -4.694 -7.511 11.058
CELL_PARAMETERS angstrom
-7.651 0.264 9.734
-10.109 -3.460 6.260
8.886 -6.770 0.968
! SG   No. 15
! Total DFT energy (no corrections)   -7.756 eV/atom



17.
! PrGaO3 | OQMD via LeMat-Bulk | PBE | relaxed; values from VASP
&SYSTEM
  ibrav = 0, nat = 10, ntyp = 3
/
ATOMIC_SPECIES
Ga 69.72 Ga.upf
O 16.00 O.upf
Pr 140.91 Pr.upf
ATOMIC_POSITIONS angstrom
Ga 0.000 9.488 -2.315
Ga 0.000 3.163 -2.684
O -1.021 4.412 -1.354
O -1.146 8.166 -1.354
O 2.167 6.397 -1.354
O -2.167 6.253 -3.644
O 1.146 4.484 -3.644
O 1.021 8.238 -3.644
Pr 0.000 6.325 -0.594
Pr 0.000 6.325 -4.404
CELL_PARAMETERS angstrom
-2.739 4.744 0.000
2.739 4.744 0.000
0.000 3.163 -4.998
! SG   No. 148
! Total DFT energy (no corrections)   -6.976 eV/atom



18.
! ScGa2Ag2 | OQMD via LeMat-Bulk | PBE | relaxed; values from VASP
&SYSTEM
  ibrav = 0, nat = 5, ntyp = 3
/
ATOMIC_SPECIES
Ag 107.87 Ag.upf
Ga 69.72 Ga.upf
Sc 44.96 Sc.upf
ATOMIC_POSITIONS angstrom
Ag -2.899 0.410 -0.895
Ag -3.265 -3.384 1.646
Ga -3.318 -0.715 1.494
Ga -2.846 -2.259 -0.743
Sc 0.000 0.000 0.000
CELL_PARAMETERS angstrom
-2.502 2.854 0.905
-1.558 -0.233 -3.570
-2.103 -5.595 3.416
! SG   No. 139
! Total DFT energy (no corrections)   -3.753 eV/atom



19.
! TmTl2 | OQMD via LeMat-Bulk | PBE | relaxed; values from VASP
&SYSTEM
  ibrav = 0, nat = 6, ntyp = 2
/
ATOMIC_SPECIES
Tl 204.38 Tl.upf
Tm 168.93 Tm.upf
ATOMIC_POSITIONS angstrom
Tl -4.017 -6.614 10.547
Tl -1.343 -3.184 12.617
Tl -2.604 -2.788 7.985
Tl -5.925 -2.282 11.437
Tm -1.736 -1.858 5.323
Tm -3.472 -3.717 10.646
CELL_PARAMETERS angstrom
-2.826 -7.653 5.124
2.523 -0.792 9.264
-6.642 1.012 6.905
! SG   No. 227
! Total DFT energy (no corrections)   -1.873 eV/atom



20.
! BaTbHg6 | OQMD via LeMat-Bulk | PBE | relaxed; values from VASP
&SYSTEM
  ibrav = 0, nat = 8, ntyp = 3
/
ATOMIC_SPECIES
Ba 137.33 Ba.upf
Hg 200.59 Hg.upf
Tb 158.93 Tb.upf
ATOMIC_POSITIONS angstrom
Ba 0.000 0.000 0.000
Hg -1.675 2.990 0.000
Hg 1.675 2.990 0.000
Hg 0.000 5.892 0.000
Hg 1.846 1.066 2.584
Hg 5.008 1.066 2.584
Hg 3.427 3.804 2.584
Tb 0.000 3.957 2.584
CELL_PARAMETERS angstrom
6.854 0.000 0.000
-3.427 5.936 0.000
0.000 0.000 5.169
! SG   No. 187
! Total DFT energy (no corrections)   -1.377 eV/atom